# VSiBi3 GGA-PBE relaxed
# ΔE_f (raw), meV/atom: 741
# Final energy, eV per atom: -4.496
# D(E_F), states/eV/f.u.: 5.62
# Distance to the lowest polymorph of the same formula, eV/atom: 0.000
data_VSiBi3
_cell_length_a 5.273
_cell_length_b 5.273
_cell_length_c 5.273
_cell_angle_alpha 90.00
_cell_angle_beta 90.00
_cell_angle_gamma 90.00
_space_group_name_H-M_alt 'P m -3 m'
_space_group_IT_number 221
_space_group_name_Hall '-P 4 2 3'
loop_
_atom_site_label
_atom_site_type_symbol
_atom_site_fract_x
_atom_site_fract_y
_atom_site_fract_z
V1 V 0.000 0.000 0.000
Si1 Si 0.500 0.500 0.500
Bi1 Bi 0.000 0.000 0.500